First-principles (PBEsol) data for a geometry-optimized LaSb2Se structure, as listed in Alexandria via LeMat-Bulk.

E_form (uncorrected) ... -697 meV/atom

a = 4.503 Å, b = 4.503 Å, c = 10.166 Å
α = 90.00°, β = 90.00°, γ = 90.00°
Space group I-4m2 (No. 119)
Symmetry-distinct sites (fractional):
La: 0.000 0.000 0.000 (multiplicity 2)
Sb: 0.000 0.000 0.500 (multiplicity 2)
Sb: 0.000 0.500 0.250 (multiplicity 2)
Se: 0.000 0.500 0.750 (multiplicity 2)